[1]
Entry from the Alexandria database: a relaxed structure of NdGdBi (GGA-PBE).

The space group is I4mm (No. 107) and the conventional cell measures 4.158, 4.158 and 10.784 Å, with angles of 90.00, 90.00 and 90.00 degrees. Symmetry generates all atoms from Nd at (0.000, 0.000, 0.000), Gd at (0.000, 0.000, 0.312) and Bi at (0.000, 0.000, 0.661).

The calculated formation energy comes out at -0.5402 eV per atom. The calculation puts the calculated volume at 186.4 Å³/cell.

=====

[2]
Entry from the Alexandria database: a relaxed structure of NdGdBi (GGA-PBE).

The space group is P3m1 (No. 156) and the conventional cell measures 5.2947, 5.2947 and 4.0640 Å, with angles of 90.00, 90.00 and 120.00 degrees. Symmetry generates all atoms from Nd at (0.0000, 0.0000, 0.0000), Gd at (0.6667, 0.3333, 0.4630) and Bi at (0.3333, 0.6667, 0.6575).

The calculated formation energy comes out at -0.3172 eV per atom. The calculation puts the calculated volume at 98.7 Å³/cell.

=====

[3]
Entry from the Alexandria database: a relaxed structure of NdGd2Bi (GGA-PBE).

The space group is R-3m (No. 166, hexagonal axes) and the conventional cell measures 3.5852, 3.5852 and 36.6734 Å, with angles of 90.00, 90.00 and 120.00 degrees. Symmetry generates all atoms from Nd at (0.0000, 0.0000, 0.0000), Gd at (0.0000, 0.0000, 0.4132) and Bi at (0.0000, 0.0000, 0.5000).

The calculated formation energy comes out at 0.0126 eV per atom. Its energy above the lowest structure with this stoichiometry is 427 meV per atom. The calculation puts the calculated volume at 408.2 Å³/cell.

=====

[4]
Entry from the Alexandria database: a relaxed structure of NdGd2Bi (GGA-PBE).

The space group is P4/mmm (No. 123) and the conventional cell measures 4.122, 4.122 and 7.379 Å, with angles of 90.00, 90.00 and 90.00 degrees. Symmetry generates all atoms from Nd at (0.000, 0.000, 0.000), Gd at (0.500, 0.500, 0.278) and Bi at (0.000, 0.000, 0.500).

The calculated formation energy comes out at -0.3998 eV per atom. Its energy above the lowest structure with this stoichiometry is 14 meV per atom. The calculation puts the calculated volume at 125.4 Å³/cell.

=====

[5]
Entry from the Alexandria database: a relaxed structure of NdGdBiPb (GGA-PBE).

The space group is F-43m (No. 216) and the conventional cell measures 7.887, 7.887 and 7.887 Å, with angles of 90.00, 90.00 and 90.00 degrees. Symmetry generates all atoms from Nd at (0.000, 0.000, 0.000), Gd at (0.000, 0.000, 0.500), Bi at (0.250, 0.250, 0.750) and Pb at (0.250, 0.250, 0.250).

The calculated formation energy comes out at -0.5315 eV per atom. The calculation puts the calculated volume at 490.6 Å³/cell.

=====

[6]
Entry from the Alexandria database: a relaxed structure of NdGdBiTe (GGA-PBE).

The space group is F-43m (No. 216) and the conventional cell measures 7.811, 7.811 and 7.811 Å, with angles of 90.00, 90.00 and 90.00 degrees. Symmetry generates all atoms from Nd at (0.000, 0.000, 0.000), Gd at (0.000, 0.000, 0.500), Bi at (0.250, 0.250, 0.250) and Te at (0.250, 0.250, 0.750).

As for the formation energy (no corrections): -0.981 eV per atom. The calculation puts the calculated volume at 476.6 Å³/cell.

=====

[7]
Entry from the Alexandria database: a relaxed structure of NdGdZnBi (GGA-PBE).

The space group is F-43m (No. 216) and the conventional cell measures 7.624, 7.624 and 7.624 Å, with angles of 90.00, 90.00 and 90.00 degrees. Symmetry generates all atoms from Nd at (0.000, 0.000, 0.000), Gd at (0.000, 0.000, 0.500), Zn at (0.250, 0.250, 0.250) and Bi at (0.250, 0.250, 0.750).

The calculated formation energy comes out at -0.4504 eV per atom. The calculation puts the calculated volume at 443.2 Å³/cell.

=====

[8]
Entry from the Alexandria database: a relaxed structure of GdNiBi (GGA-PBE).

The space group is F-43m (No. 216) and the conventional cell measures 6.531, 6.531 and 6.531 Å, with angles of 90.00, 90.00 and 90.00 degrees. Symmetry generates all atoms from Gd at (0.000, 0.000, 0.000), Ni at (0.250, 0.250, 0.250) and Bi at (0.000, 0.000, 0.500).

The calculated formation energy comes out at -0.6750 eV per atom. The calculation puts the calculated volume at 278.6 Å³/cell.

=====

[9]
Entry from the Alexandria database: a relaxed structure of Gd3NiBi (GGA-PBE).

The space group is Pm-3m (No. 221) and the conventional cell measures 5.261, 5.261 and 5.261 Å, with angles of 90.00, 90.00 and 90.00 degrees. Symmetry generates all atoms from Gd at (0.000, 0.000, 0.500), Ni at (0.000, 0.000, 0.000) and Bi at (0.500, 0.500, 0.500).

The calculated formation energy comes out at -0.4178 eV per atom. The calculation puts the calculated volume at 145.6 Å³/cell.

=====

[10]
Entry from the Alexandria database: a relaxed structure of GdNiBi2 (GGA-PBE).

The space group is R-3m (No. 166, hexagonal axes) and the conventional cell measures 3.5518, 3.5518 and 30.0247 Å, with angles of 90.00, 90.00 and 120.00 degrees. Symmetry generates all atoms from Gd at (0.0000, 0.0000, 0.0000), Ni at (0.0000, 0.0000, 0.5000) and Bi at (0.0000, 0.0000, 0.1075).

The calculated formation energy comes out at 0.0838 eV per atom. The calculation puts the calculated volume at 328.0 Å³/cell.

=====

[11]
Entry from the Alexandria database: a relaxed structure of GdNiBi (GGA-PBE).

The space group is P3m1 (No. 156) and the conventional cell measures 4.4231, 4.4231 and 4.1673 Å, with angles of 90.00, 90.00 and 120.00 degrees. Symmetry generates all atoms from Gd at (0.0000, 0.0000, 0.0000), Ni at (0.3333, 0.6667, 0.4133) and Bi at (0.6667, 0.3333, 0.5025).

The calculated formation energy comes out at -0.5137 eV per atom. The calculation puts the calculated volume at 70.6 Å³/cell.

=====

[12]
Entry from the Alexandria database: a relaxed structure of GdNiBi (GGA-PBE).

The space group is I4mm (No. 107) and the conventional cell measures 3.442, 3.442 and 11.658 Å, with angles of 90.00, 90.00 and 90.00 degrees. Symmetry generates all atoms from Gd at (0.000, 0.000, 0.000), Ni at (0.000, 0.000, 0.635) and Bi at (0.000, 0.000, 0.280).

The calculated formation energy comes out at -0.2634 eV per atom. The calculation puts the calculated volume at 138.2 Å³/cell.